{
  "formula": "AgIOF2",
  "functional": "PBE",
  "state": "relaxed",
  "cell": [[4.8587, 0.0000, 0.0000], [0.0000, 4.8587, 0.0000], [0.0000, 0.0000, 4.0400]],
  "species": ["O", "F", "F", "Ag", "I"],
  "fractional_positions": [[0.0000, 0.0000, 0.5000], [0.0000, 0.5000, 0.0000], [0.5000, 0.0000, 0.0000], [0.5000, 0.5000, 0.5000], [0.0000, 0.0000, 0.0000]],
  "formation_energy_uncorrected_ev_per_atom": -0.387,
  "total_energy_ev_per_atom": -3.007,
  "dos_ef_per_ev_fu": 2.9,
  "de_polymorph_mev_per_atom": 0,
  "spacegroup": "No. 123"
}